1.
Ti2ZnCo | PBE | optimized geometry

Summary:
**Magnetic moment**: 0.189 μB/cell
**ΔH_f (0 K)**: -0.27 eV/atom

Cell lengths 3.0258, 3.0258, 6.2554 Å; angles 90.00, 90.00, 90.00 degrees
Positions (direct):
Co 0.5000 0.5000 0.0000
Zn 0.5000 0.5000 0.5000
Ti 0.0000 0.0000 0.7692
Ti 0.0000 0.0000 0.2308



2.
RbHfTl | PBE | optimized geometry

Summary:
**Polymorph energy (0 for the lowest one)**: 64.72 kJ per mole of atoms
**Magnetic moment**: 0.000 μB/cell
**ΔH_f (0 K)**: 0.81 eV/atom

Cell lengths 5.6505, 5.6505, 3.3114 Å; angles 90.00, 90.00, 120.00 degrees
Positions (direct):
Hf 0.3333 0.6667 0.0000
Tl 0.0000 0.0000 0.0000
Rb 0.6667 0.3333 0.5000



3.
LiPm2SmAu4 | PBE | optimized geometry

Summary:
**Magnetic moment**: 0.000 μB/cell
**ΔH_f (0 K)**: -0.73 eV/atom

Cell lengths 5.1140, 5.1140, 8.8511 Å; angles 73.21, 73.21, 60.00 degrees
Positions (direct):
Li 0.5000 0.5000 0.5000
Au 0.3706 0.3706 0.8883
Au 0.6294 0.6294 0.1117
Au 0.1210 0.1210 0.6369
Au 0.8790 0.8790 0.3631
Pm 0.7574 0.7574 0.7279
Pm 0.2426 0.2426 0.2721
Sm 0.0000 0.0000 0.0000



4.
PmHo6Er2 | PBE | optimized geometry

Summary:
**Polymorph energy (0 for the lowest one)**: 0.00 kJ per mole of atoms
**Magnetic moment**: 0.000 μB/cell
**ΔH_f (0 K)**: 0.02 eV/atom

Cell lengths 4.9987, 10.5962, 10.5960 Å; angles 90.00, 90.00, 90.00 degrees
Positions (direct):
Ho 0.0002 0.3325 0.1674
Ho 0.9998 0.6660 0.4998
Ho 0.0000 0.0002 0.8340
Ho 0.5002 0.1660 0.0002
Ho 0.5000 0.5002 0.6660
Ho 0.9998 0.6675 0.8326
Ho 0.5000 0.4998 0.3340
Ho 0.5002 0.1675 0.6674
Ho 0.0002 0.3340 0.5002
Ho 0.4998 0.8325 0.3326
Ho 0.0000 0.9998 0.1660
Ho 0.4998 0.8340 0.9998
Pm 0.5000 0.5000 0.0000
Pm 0.0000 0.0000 0.5000
Er 0.4998 0.8326 0.6675
Er 0.9998 0.6674 0.1675
Er 0.5002 0.1674 0.3325
Er 0.0002 0.3326 0.8325



5.
UInFe | PBE | optimized geometry

Summary:
**Magnetic moment**: 0.008 μB/cell
**ΔH_f (0 K)**: 0.03 eV/atom

Cell lengths 3.0567, 3.0567, 6.3471 Å; angles 103.93, 103.93, 90.00 degrees
Positions (direct):
Fe 0.6747 0.6747 0.3493
In 0.0219 0.0219 0.0439
U 0.3034 0.3034 0.6068



6.
Sr2TaH2 | PBE | optimized geometry

Summary:
**Polymorph energy (0 for the lowest one)**: 14.86 kJ per mole of atoms
**Magnetic moment**: 2.336 μB/cell

Cell lengths 7.7671, 7.7671, 3.2894 Å; angles 90.00, 90.00, 90.00 degrees
Positions (direct):
H 0.8577 0.6423 0.0000
H 0.6423 0.1423 0.0000
H 0.1423 0.3577 0.0000
H 0.3577 0.8577 0.0000
Sr 0.1721 0.6721 0.5000
Sr 0.6721 0.8279 0.5000
Sr 0.8279 0.3279 0.5000
Sr 0.3279 0.1721 0.5000
Ta 0.0000 0.0000 0.0000
Ta 0.5000 0.5000 0.0000



7.
Sc2AlN | PBE | optimized geometry

Summary:
**Formation energy without anion corrections**: -0.070 eV/atom
**Magnetic moment**: 0.000 μB/cell

Cell lengths 8.1925, 8.1925, 8.1925 Å; angles 25.94, 25.94, 25.94 degrees
Positions (direct):
Al 0.5000 0.5000 0.5000
Sc 0.0779 0.0779 0.0779
Sc 0.9221 0.9221 0.9221
N 0.0000 0.0000 0.0000



8.
FeTcCl2 | PBE | optimized geometry

Summary:
**Formation energy without anion corrections**: 0.083 eV/atom
**Polymorph energy (0 for the lowest one)**: 15.89 kJ per mole of atoms
**Magnetic moment**: 3.953 μB/cell

Cell lengths 7.1393, 7.7218, 7.7468 Å; angles 157.33, 147.16, 40.92 degrees
Positions (direct):
Fe 0.7500 0.2500 0.5000
Cl 0.1630 0.1098 0.0420
Cl 0.3370 0.3902 0.9580
Tc 0.2500 0.7500 0.5000



9.
Ca2Hg2Pb3 | PBE | optimized geometry

Summary:
**Magnetic moment**: 0.000 μB/cell
**ΔH_f (0 K)**: -0.32 eV/atom

Cell lengths 3.6869, 4.9121, 11.5444 Å; angles 102.28, 90.00, 90.00 degrees
Positions (direct):
Pb 0.0000 0.0000 0.0000
Pb 0.5000 0.4241 0.8481
Pb 0.5000 0.5759 0.1519
Hg 0.5000 0.7147 0.4293
Hg 0.5000 0.2853 0.5707
Ca 0.0000 0.1595 0.3191
Ca 0.0000 0.8405 0.6809



10.
Pu2ZnSi3Ir4 | PBE | optimized geometry

Summary:
**Formation energy without anion corrections**: -0.743 eV/atom
**Magnetic moment**: 10.375 μB/cell

Cell lengths 4.1058, 4.1058, 10.2299 Å; angles 90.00, 90.00, 90.00 degrees
Positions (direct):
Pu 0.0000 0.5000 0.7448
Pu 0.5000 0.0000 0.2552
Si 0.0000 0.0000 0.5000
Si 0.5000 0.0000 0.8743
Si 0.0000 0.5000 0.1257
Ir 0.5000 0.0000 0.6417
Ir 0.5000 0.5000 0.0000
Ir 0.0000 0.0000 0.0000
Ir 0.0000 0.5000 0.3583
Zn 0.5000 0.5000 0.5000



11.
Tb2MgSiPt6 | PBE | optimized geometry

Summary:
**Formation energy without anion corrections**: -0.850 eV/atom
**Magnetic moment**: 0.000 μB/cell

Cell lengths 8.0810, 5.6141, 8.0817 Å; angles 69.68, 40.65, 90.00 degrees
Positions (direct):
Tb 0.7924 0.2078 0.5845
Tb 0.2076 0.7922 0.4155
Mg 0.5000 0.5000 0.0000
Pt 0.7539 0.2459 0.0198
Pt 0.2461 0.2658 0.9802
Pt 0.7539 0.7342 0.0198
Pt 0.7346 0.7541 0.4919
Pt 0.2654 0.2459 0.5081
Pt 0.2461 0.7541 0.9802
Si 0.0000 0.0000 0.0000



12.
CsHfS3 | PBE | optimized geometry

Summary:
**Formation energy without anion corrections**: -1.386 eV/atom
**Polymorph energy (0 for the lowest one)**: 1.09 kJ per mole of atoms
**Magnetic moment**: 0.000 μB/cell

Cell lengths 6.6601, 8.2001, 7.9198 Å; angles 118.55, 107.37, 62.96 degrees
Positions (direct):
S 0.4724 0.4467 0.5405
S 0.2673 0.3505 0.0499
S 0.4200 0.0233 0.3760
S 0.8790 0.1750 0.1005
S 0.3197 0.7737 0.2143
S 0.8607 0.6221 0.4898
Cs 0.7489 0.7513 0.9696
Cs 0.9909 0.0456 0.6210
Hf 0.1633 0.3281 0.3043
Hf 0.5764 0.4690 0.2860